# 1
Crystalline Sr2AgAs3Pd4 at its relaxed geometry, computed with PBE.

a b c (Å): 4.472 4.472 10.343
angles (deg): 90.00 90.00 90.00
Fractional coordinates of all 10 atoms:
Sr (0.000, 0.500, 0.250)
Sr (0.500, 0.000, 0.750)
Ag (0.000, 0.000, 0.500)
As (0.000, 0.500, 0.876)
As (0.500, 0.000, 0.124)
As (0.500, 0.500, 0.500)
Pd (0.000, 0.000, 0.000)
Pd (0.000, 0.500, 0.639)
Pd (0.500, 0.000, 0.361)
Pd (0.500, 0.500, 0.000)

Output
- formation enthalpy at 0 K (eV/atom) = -0.681
- E (eV for the cell shown) = -47.747
- symmetry = P-4m2 (115)
- size of the total moment (μB per cell) = 0.00

# 2
Crystalline SrAgAsPd2 at its relaxed geometry, computed with PBE.

a b c (Å): 4.861 4.861 4.895
angles (deg): 90.00 90.00 90.00
Fractional coordinates of all 5 atoms:
Sr (0.000, 0.000, 0.000)
Ag (0.500, 0.500, 0.000)
As (0.500, 0.500, 0.500)
Pd (0.000, 0.500, 0.500)
Pd (0.500, 0.000, 0.500)

Output
- formation enthalpy at 0 K (eV/atom) = -0.414
- E (eV for the cell shown) = -21.640
- symmetry = P4/mmm (123)
- size of the total moment (μB per cell) = 0.00

# 3
Crystalline TaAgAs2Pd at its relaxed geometry, computed with PBE.

a b c (Å): 4.929 4.929 5.064
angles (deg): 90.00 90.00 90.00
Fractional coordinates of all 5 atoms:
Ta (0.000, 0.000, 0.000)
Ag (0.500, 0.500, 0.500)
As (0.000, 0.500, 0.000)
As (0.500, 0.000, 0.000)
Pd (0.000, 0.000, 0.500)

Output
- formation enthalpy at 0 K (eV/atom) = 0.614
- E (eV for the cell shown) = -26.125
- symmetry = P4/mmm (123)
- size of the total moment (μB per cell) = 0.50

# 4
Crystalline AgTeAs2Pd at its relaxed geometry, computed with PBE.

a b c (Å): 4.906 4.906 5.500
angles (deg): 90.00 90.00 90.00
Fractional coordinates of all 5 atoms:
Ag (0.000, 0.000, 0.000)
Te (0.000, 0.000, 0.500)
As (0.000, 0.500, 0.000)
As (0.500, 0.000, 0.000)
Pd (0.500, 0.500, 0.500)

Output
- E (eV for the cell shown) = -15.712
- symmetry = P4/mmm (123)
- size of the total moment (μB per cell) = 0.00

# 5
Crystalline Tl2AgAsPd at its relaxed geometry, computed with PBE.

a b c (Å): 5.493 5.493 4.811
angles (deg): 90.00 90.00 90.00
Fractional coordinates of all 5 atoms:
Tl (0.000, 0.500, 0.000)
Tl (0.500, 0.000, 0.000)
Ag (0.000, 0.000, 0.500)
As (0.000, 0.000, 0.000)
Pd (0.500, 0.500, 0.500)

Output
- formation enthalpy at 0 K (eV/atom) = 0.591
- E (eV for the cell shown) = -14.474
- symmetry = P4/mmm (123)
- size of the total moment (μB per cell) = 0.00

# 6
Crystalline AgAsPd2W at its relaxed geometry, computed with PBE.

a b c (Å): 4.790 4.790 5.104
angles (deg): 90.00 90.00 90.00
Fractional coordinates of all 5 atoms:
Ag (0.000, 0.000, 0.000)
As (0.500, 0.500, 0.000)
Pd (0.000, 0.500, 0.500)
Pd (0.500, 0.000, 0.500)
W (0.000, 0.000, 0.500)

Output
- formation enthalpy at 0 K (eV/atom) = 1.468
- E (eV for the cell shown) = -23.501
- symmetry = P4/mmm (123)
- size of the total moment (μB per cell) = 0.00

# 7
Crystalline ZrAgAs2Pd at its relaxed geometry, computed with PBE.

a b c (Å): 5.078 5.078 5.379
angles (deg): 90.00 90.00 90.00
Fractional coordinates of all 5 atoms:
Zr (0.000, 0.000, 0.000)
Ag (0.000, 0.000, 0.500)
As (0.000, 0.500, 0.000)
As (0.500, 0.000, 0.000)
Pd (0.500, 0.500, 0.500)

Output
- formation enthalpy at 0 K (eV/atom) = 0.703
- E (eV for the cell shown) = -22.376
- symmetry = P4/mmm (123)
- size of the total moment (μB per cell) = 0.00

# 8
Crystalline PmAgAs at its relaxed geometry, computed with PBE.

a b c (Å): 5.548 5.548 6.829
angles (deg): 100.80 100.80 45.99
Fractional coordinates of all 6 atoms:
Pm (0.116, 0.116, 0.279)
Pm (0.884, 0.884, 0.721)
Ag (0.383, 0.383, 0.073)
Ag (0.617, 0.617, 0.927)
As (0.177, 0.177, 0.716)
As (0.823, 0.823, 0.284)

Output
- distance to the lowest polymorph of the same formula (meV/atom) = 0.0
- formation enthalpy at 0 K (eV/atom) = -0.784
- E (eV for the cell shown) = -29.209
- symmetry = C2/m (12)
- size of the total moment (μB per cell) = 0.00

# 9
Crystalline PmAg2As at its relaxed geometry, computed with PBE.

a b c (Å): 4.164 4.164 5.099
angles (deg): 90.00 90.00 90.00
Fractional coordinates of all 4 atoms:
Pm (0.000, 0.000, 0.000)
Ag (0.000, 0.500, 0.500)
Ag (0.500, 0.000, 0.500)
As (0.500, 0.500, 0.000)

Output
- formation enthalpy at 0 K (eV/atom) = -0.480
- E (eV for the cell shown) = -17.024
- symmetry = P4/mmm (123)
- size of the total moment (μB per cell) = 0.00

# 10
Crystalline PmAgAs2 at its relaxed geometry, computed with PBE.

a b c (Å): 3.793 3.793 6.136
angles (deg): 90.00 90.00 90.00
Fractional coordinates of all 4 atoms:
Pm (0.000, 0.000, 0.000)
Ag (0.000, 0.000, 0.500)
As (0.500, 0.500, 0.269)
As (0.500, 0.500, 0.731)

Output
- distance to the lowest polymorph of the same formula (meV/atom) = 430.7
- formation enthalpy at 0 K (eV/atom) = -0.344
- E (eV for the cell shown) = -18.275
- symmetry = P4/mmm (123)
- size of the total moment (μB per cell) = 0.00

# 11
Crystalline Pm5Ag12As3 at its relaxed geometry, computed with PBE.

a b c (Å): 14.314 14.314 14.314
angles (deg): 109.47 109.47 109.47
Fractional coordinates of all 80 atoms:
Pm (0.000, 0.000, 0.000)
Pm (0.000, 0.000, 0.500)
Pm (0.000, 0.500, 0.000)
Pm (0.000, 0.500, 0.500)
Pm (0.125, 0.750, 0.875)
Pm (0.125, 0.875, 0.250)
Pm (0.250, 0.125, 0.875)
Pm (0.250, 0.625, 0.375)
Pm (0.375, 0.250, 0.625)
Pm (0.375, 0.625, 0.750)
Pm (0.500, 0.000, 0.000)
Pm (0.500, 0.000, 0.500)
Pm (0.500, 0.500, 0.000)
Pm (0.500, 0.500, 0.500)
Pm (0.625, 0.375, 0.250)
Pm (0.625, 0.750, 0.375)
Pm (0.750, 0.375, 0.625)
Pm (0.750, 0.875, 0.125)
Pm (0.875, 0.125, 0.750)
Pm (0.875, 0.250, 0.125)
Ag (0.053, 0.637, 0.391)
Ag (0.053, 0.916, 0.662)
Ag (0.084, 0.246, 0.137)
Ag (0.084, 0.338, 0.947)
Ag (0.109, 0.746, 0.662)
Ag (0.109, 0.863, 0.447)
Ag (0.137, 0.084, 0.246)
Ag (0.137, 0.553, 0.891)
Ag (0.162, 0.246, 0.609)
Ag (0.162, 0.416, 0.553)
Ag (0.246, 0.137, 0.084)
Ag (0.246, 0.609, 0.162)
Ag (0.254, 0.338, 0.891)
Ag (0.254, 0.416, 0.363)
Ag (0.338, 0.891, 0.254)
Ag (0.338, 0.947, 0.084)
Ag (0.363, 0.254, 0.416)
Ag (0.363, 0.609, 0.947)
Ag (0.391, 0.053, 0.637)
Ag (0.391, 0.838, 0.754)
Ag (0.416, 0.363, 0.254)
Ag (0.416, 0.553, 0.162)
Ag (0.447, 0.109, 0.863)
Ag (0.447, 0.838, 0.584)
Ag (0.553, 0.162, 0.416)
Ag (0.553, 0.891, 0.137)
Ag (0.584, 0.447, 0.838)
Ag (0.584, 0.637, 0.746)
Ag (0.609, 0.162, 0.246)
Ag (0.609, 0.947, 0.363)
Ag (0.637, 0.391, 0.053)
Ag (0.637, 0.746, 0.584)
Ag (0.662, 0.053, 0.916)
Ag (0.662, 0.109, 0.746)
Ag (0.746, 0.584, 0.637)
Ag (0.746, 0.662, 0.109)
Ag (0.754, 0.391, 0.838)
Ag (0.754, 0.863, 0.916)
Ag (0.838, 0.584, 0.447)
Ag (0.838, 0.754, 0.391)
Ag (0.863, 0.447, 0.109)
Ag (0.863, 0.916, 0.754)
Ag (0.891, 0.137, 0.553)
Ag (0.891, 0.254, 0.338)
Ag (0.916, 0.662, 0.053)
Ag (0.916, 0.754, 0.863)
Ag (0.947, 0.084, 0.338)
Ag (0.947, 0.363, 0.609)
As (0.125, 0.250, 0.375)
As (0.125, 0.375, 0.750)
As (0.250, 0.375, 0.125)
As (0.250, 0.875, 0.625)
As (0.375, 0.125, 0.250)
As (0.375, 0.750, 0.125)
As (0.625, 0.250, 0.875)
As (0.625, 0.875, 0.750)
As (0.750, 0.125, 0.375)
As (0.750, 0.625, 0.875)
As (0.875, 0.625, 0.250)
As (0.875, 0.750, 0.625)

Output
- formation enthalpy at 0 K (eV/atom) = 0.347
- E (eV for the cell shown) = -259.884
- symmetry = Ia-3d (230)
- size of the total moment (μB per cell) = 0.00

# 12
Crystalline PmAgAs2 at its relaxed geometry, computed with PBE.

a b c (Å): 4.059 4.059 10.526
angles (deg): 90.00 90.00 90.00
Fractional coordinates of all 8 atoms:
Pm (0.250, 0.250, 0.227)
Pm (0.750, 0.750, 0.773)
Ag (0.250, 0.750, 0.500)
Ag (0.750, 0.250, 0.500)
As (0.250, 0.250, 0.681)
As (0.250, 0.750, 0.000)
As (0.750, 0.250, 0.000)
As (0.750, 0.750, 0.319)

Output
- distance to the lowest polymorph of the same formula (meV/atom) = 6.0
- formation enthalpy at 0 K (eV/atom) = -0.768
- E (eV for the cell shown) = -39.949
- symmetry = P4/nmm (129)
- size of the total moment (μB per cell) = 0.00